(1)
A geometry-optimized LiNiAgCl6 structure. Source: the Alexandria database, functional PBE.

Structure (POSCAR):
```
LiNiAgCl6
1.0
6.209 0.000 0.000
-3.104 5.377 0.000
0.000 0.000 11.390
Ag Cl Li Ni
2 12 2 2
Direct
0.000 0.000 0.500
0.000 0.000 0.000
0.968 0.340 0.135
0.660 0.628 0.135
0.968 0.628 0.365
0.340 0.372 0.865
0.032 0.660 0.865
0.628 0.968 0.865
0.032 0.372 0.635
0.372 0.032 0.135
0.660 0.032 0.365
0.628 0.660 0.635
0.340 0.968 0.635
0.372 0.340 0.365
0.333 0.667 0.250
0.667 0.333 0.750
0.667 0.333 0.250
0.333 0.667 0.750
```

Computed properties:
Space-group type: P-31c (163)
Total energy, Ry per atom: -0.228
Formation energy without anion corrections, eV/atom: -0.697

---

(2)
A geometry-optimized Li2NpAgCl6 structure. Source: the Alexandria database, functional PBE.

Structure (POSCAR):
```
Li2NpAgCl6
1.0
6.714 0.001 0.001
3.357 5.815 0.001
3.357 1.939 6.153
Np Cl Li Ag
1 6 2 1
Direct
0.319 0.319 0.044
0.741 0.129 0.745
0.618 0.240 0.246
0.240 0.896 0.246
0.129 0.385 0.745
0.385 0.741 0.745
0.896 0.618 0.246
0.012 0.012 0.965
0.517 0.517 0.448
0.805 0.805 0.586
```

Computed properties:
Space-group type: R3 (146)
Density of states at the Fermi level, states/eV/atom: 0.543
Total energy, Ry per atom: -0.334
Formation energy without anion corrections, eV/atom: -1.470

---

(3)
A geometry-optimized Li2AgClO structure. Source: the Alexandria database, functional PBE.

Structure (POSCAR):
```
Li2AgClO
1.0
-1.610 -3.626 -0.895
3.545 -1.177 -1.609
1.296 -1.562 4.000
O Li Ag Cl
1 2 1 1
Direct
0.000 0.000 0.000
0.000 0.500 0.000
0.500 0.000 0.000
0.000 0.000 0.500
0.500 0.500 0.500
```

Computed properties:
Space-group type: P4/mmm (123)
Density of states at the Fermi level, states/eV/atom: 0.014
Total energy, Ry per atom: -0.285
Formation energy without anion corrections, eV/atom: -1.185

---

(4)
A geometry-optimized LiAgOsCl6 structure. Source: the Alexandria database, functional PBE.

Structure (POSCAR):
```
LiAgOsCl6
1.0
6.341 0.000 0.000
-3.170 5.491 0.000
0.000 0.000 11.742
Os Li Cl Ag
2 2 12 2
Direct
0.333 0.667 0.750
0.667 0.333 0.250
0.667 0.333 0.750
0.333 0.667 0.250
0.348 0.977 0.635
0.977 0.348 0.135
0.629 0.977 0.865
0.371 0.348 0.365
0.023 0.371 0.635
0.652 0.023 0.365
0.629 0.652 0.635
0.023 0.652 0.865
0.977 0.629 0.365
0.652 0.629 0.135
0.348 0.371 0.865
0.371 0.023 0.135
0.000 0.000 0.000
0.000 0.000 0.500
```

Computed properties:
Space-group type: P-31c (163)
Density of states at the Fermi level, states/eV/atom: 0.558
Total energy, Ry per atom: -0.273
Formation energy without anion corrections, eV/atom: -0.712

---

(5)
A geometry-optimized LiAg2OsCl structure. Source: the Alexandria database, functional PBE.

Structure (POSCAR):
```
LiAg2OsCl
1.0
4.782 0.000 0.000
0.000 4.011 0.000
0.000 0.000 4.782
Os Cl Li Ag
1 1 1 2
Direct
0.500 0.500 0.500
0.000 0.500 0.000
0.000 0.000 0.000
0.500 0.000 0.000
0.000 0.000 0.500
```

Computed properties:
Space-group type: P4/mmm (123)
Density of states at the Fermi level, states/eV/atom: 0.438
Total energy, Ry per atom: -0.235
Formation energy without anion corrections, eV/atom: 0.936

---

(6)
A geometry-optimized LiPaAgCl6 structure. Source: the Alexandria database, functional PBE.

Structure (POSCAR):
```
LiPaAgCl6
1.0
6.686 0.000 0.000
-3.343 5.790 0.000
0.000 0.000 12.323
Cl Pa Li Ag
12 2 2 2
Direct
0.995 0.344 0.630
0.656 0.005 0.870
0.651 0.656 0.130
0.005 0.656 0.370
0.651 0.995 0.370
0.005 0.349 0.130
0.995 0.651 0.870
0.656 0.651 0.630
0.349 0.005 0.630
0.344 0.995 0.130
0.349 0.344 0.870
0.344 0.349 0.370
0.333 0.667 0.750
0.667 0.333 0.250
0.333 0.667 0.250
0.667 0.333 0.750
0.000 0.000 0.000
0.000 0.000 0.500
```

Computed properties:
Space-group type: P-31c (163)
Density of states at the Fermi level, states/eV/atom: 0.200
Total energy, Ry per atom: -0.320
Formation energy without anion corrections, eV/atom: -1.544

---

(7)
A geometry-optimized LiAg4PbCl8 structure. Source: the Alexandria database, functional PBE.

Structure (POSCAR):
```
LiAg4PbCl8
1.0
-2.701 2.359 -7.112
-7.143 -2.429 -2.553
-6.067 5.226 -0.423
Cl Ag Li Pb
8 4 1 1
Direct
0.241 0.241 0.277
0.748 0.255 0.742
0.744 0.744 0.271
0.763 0.763 0.710
0.241 0.744 0.271
0.255 0.748 0.742
0.255 0.255 0.742
0.744 0.241 0.271
0.002 0.002 0.499
0.635 0.635 0.096
0.496 0.002 0.499
0.002 0.496 0.499
0.372 0.372 0.885
0.001 0.001 0.997
```

Computed properties:
Space-group type: R3m (160)
Density of states at the Fermi level, states/eV/atom: 1.420
Total energy, Ry per atom: -0.222
Formation energy without anion corrections, eV/atom: -0.749

---

(8)
A geometry-optimized LiAgPbCl6 structure. Source: the Alexandria database, functional PBE.

Structure (POSCAR):
```
LiAgPbCl6
1.0
6.552 0.000 0.000
-3.276 5.674 0.000
0.000 0.000 12.150
Cl Li Ag Pb
12 2 2 2
Direct
0.653 0.999 0.371
0.347 0.001 0.629
0.999 0.346 0.629
0.654 0.001 0.871
0.654 0.653 0.629
0.001 0.654 0.371
0.999 0.653 0.871
0.001 0.347 0.129
0.346 0.999 0.129
0.347 0.346 0.871
0.653 0.654 0.129
0.346 0.347 0.371
0.667 0.333 0.750
0.333 0.667 0.250
0.000 0.000 0.500
0.000 0.000 0.000
0.667 0.333 0.250
0.333 0.667 0.750
```

Computed properties:
Space-group type: P-31c (163)
Density of states at the Fermi level, states/eV/atom: 0.035
Total energy, Ry per atom: -0.222
Formation energy without anion corrections, eV/atom: -0.853